[1]
# Mg3AlAu, optimized geometry, DFT PBE
data_Mg3AlAu
_cell_length_a 5.0890
_cell_length_b 5.0890
_cell_length_c 5.0890
_cell_angle_alpha 90.00
_cell_angle_beta 90.00
_cell_angle_gamma 90.00
_symmetry_space_group_name_H-M 'P m -3 m'
_symmetry_Int_Tables_number 221
_symmetry_space_group_name_Hall '-P 4 2 3'
loop_
_atom_site_label
_atom_site_type_symbol
_atom_site_fract_x
_atom_site_fract_y
_atom_site_fract_z
Mg1 Mg 0.0000 0.0000 0.5000
Al1 Al 0.5000 0.5000 0.5000
Au1 Au 0.0000 0.0000 0.0000
# energy	-2.29	eV per atom
# energy of formation from the pure elements	0.36	eV/f.u.
# excess energy over the best structure of this formula in the dataset	0.000	eV/atom

[2]
# Mg5AlAu4, optimized geometry, DFT PBE
data_Mg5AlAu4
_cell_length_a 3.3935
_cell_length_b 3.3935
_cell_length_c 15.8146
_cell_angle_alpha 90.00
_cell_angle_beta 90.00
_cell_angle_gamma 90.00
_symmetry_space_group_name_H-M 'P 4/m m m'
_symmetry_Int_Tables_number 123
_symmetry_space_group_name_Hall '-P 4 2'
loop_
_atom_site_label
_atom_site_type_symbol
_atom_site_fract_x
_atom_site_fract_y
_atom_site_fract_z
Mg1 Mg 0.0000 0.0000 0.0000
Mg2 Mg 0.0000 0.0000 0.1997
Mg3 Mg 0.0000 0.0000 0.3955
Al1 Al 0.5000 0.5000 0.5000
Au1 Au 0.5000 0.5000 0.1006
Au2 Au 0.5000 0.5000 0.3039
# energy	-2.97	eV per atom
# energy of formation from the pure elements	-4.90	eV/f.u.

[3]
# MgAlAu, optimized geometry, DFT PBE
data_MgAlAu
_cell_length_a 4.4345
_cell_length_b 4.4345
_cell_length_c 3.2746
_cell_angle_alpha 90.00
_cell_angle_beta 90.00
_cell_angle_gamma 120.00
_symmetry_space_group_name_H-M 'P -6 m 2'
_symmetry_Int_Tables_number 187
_symmetry_space_group_name_Hall 'P -6 2'
loop_
_atom_site_label
_atom_site_type_symbol
_atom_site_fract_x
_atom_site_fract_y
_atom_site_fract_z
Mg1 Mg 0.0000 0.0000 0.0000
Al1 Al 0.6667 0.3333 0.5000
Au1 Au 0.3333 0.6667 0.5000
# energy	-3.25	eV per atom
# energy of formation from the pure elements	-1.15	eV/f.u.

[4]
# MgAlAu3, optimized geometry, DFT PBE
data_MgAlAu3
_cell_length_a 8.3269
_cell_length_b 13.9485
_cell_length_c 3.2106
_cell_angle_alpha 90.00
_cell_angle_beta 90.00
_cell_angle_gamma 90.00
_symmetry_space_group_name_H-M 'C m m m'
_symmetry_Int_Tables_number 65
_symmetry_space_group_name_Hall '-C 2 2'
loop_
_atom_site_label
_atom_site_type_symbol
_atom_site_fract_x
_atom_site_fract_y
_atom_site_fract_z
Mg1 Mg 0.0000 0.0000 0.0000
Mg2 Mg 0.0000 0.5000 0.0000
Al1 Al 0.2500 0.2500 0.0000
Au1 Au 0.0000 0.2504 0.5000
Au2 Au 0.2497 0.0979 0.5000
# energy	-3.44	eV per atom
# energy of formation from the pure elements	-2.04	eV/f.u.
# excess energy over the best structure of this formula in the dataset	0.008	eV/atom

[5]
# MgAlAu4, optimized geometry, DFT PBE
data_MgAlAu4
_cell_length_a 4.2363
_cell_length_b 4.2363
_cell_length_c 6.6508
_cell_angle_alpha 90.00
_cell_angle_beta 90.00
_cell_angle_gamma 90.00
_symmetry_space_group_name_H-M 'P 4/m m m'
_symmetry_Int_Tables_number 123
_symmetry_space_group_name_Hall '-P 4 2'
loop_
_atom_site_label
_atom_site_type_symbol
_atom_site_fract_x
_atom_site_fract_y
_atom_site_fract_z
Mg1 Mg 0.0000 0.0000 0.0000
Al1 Al 0.5000 0.5000 0.5000
Au1 Au 0.0000 0.5000 0.2662
# energy	-3.37	eV per atom
# energy of formation from the pure elements	-1.80	eV/f.u.
# excess energy over the best structure of this formula in the dataset	0.000	eV/atom

[6]
# MgAl2Au6, optimized geometry, DFT PBE
data_MgAl2Au6
_cell_length_a 12.6758
_cell_length_b 6.8864
_cell_length_c 4.2775
_cell_angle_alpha 90.00
_cell_angle_beta 109.49
_cell_angle_gamma 90.00
_symmetry_space_group_name_H-M 'C 1 2/m 1'
_symmetry_Int_Tables_number 12
loop_
_symmetry_equiv_pos_as_xyz
'x,y,z'
'-x,-y,-z'
'-x,y,-z'
'x,-y,z'
'x+1/2,y+1/2,z'
'-x+1/2,-y+1/2,-z'
'-x+1/2,y+1/2,-z'
'x+1/2,-y+1/2,z'
loop_
_atom_site_label
_atom_site_type_symbol
_atom_site_fract_x
_atom_site_fract_y
_atom_site_fract_z
Mg1 Mg 0.0000 0.0000 0.0000
Al1 Al 0.1836 0.5000 0.6829
Au1 Au 0.0000 0.2725 0.5000
Au2 Au 0.1668 0.2800 0.1664
# energy	-3.50	eV per atom
# energy of formation from the pure elements	-2.74	eV/f.u.
# excess energy over the best structure of this formula in the dataset	0.028	eV/atom

[7]
# MgAlAu6, optimized geometry, DFT PBE
data_MgAlAu6
_cell_length_a 7.6619
_cell_length_b 7.6619
_cell_length_c 9.6640
_cell_angle_alpha 90.00
_cell_angle_beta 90.00
_cell_angle_gamma 120.00
_symmetry_space_group_name_H-M 'R -3 m'
_symmetry_Int_Tables_number 166
_symmetry_space_group_name_Hall '-R 3 2"'
loop_
_atom_site_label
_atom_site_type_symbol
_atom_site_fract_x
_atom_site_fract_y
_atom_site_fract_z
Mg1 Mg 0.0000 0.0000 0.0000
Al1 Al 0.0000 0.0000 0.5000
Au1 Au 0.0839 0.5420 0.3677
# energy	-3.29	eV per atom
# energy of formation from the pure elements	-1.29	eV/f.u.

[8]
# MgAlAu, optimized geometry, DFT PBE
data_MgAlAu
_cell_length_a 3.1716
_cell_length_b 3.1716
_cell_length_c 6.5058
_cell_angle_alpha 90.00
_cell_angle_beta 90.00
_cell_angle_gamma 120.00
_symmetry_space_group_name_H-M 'P 3 m 1'
_symmetry_Int_Tables_number 156
loop_
_symmetry_equiv_pos_as_xyz
'x,y,z'
'-y,x-y,z'
'-x+y,-x,z'
'-y,-x,z'
'-x+y,y,z'
'x,x-y,z'
loop_
_atom_site_label
_atom_site_type_symbol
_atom_site_fract_x
_atom_site_fract_y
_atom_site_fract_z
Mg1 Mg 0.0000 0.0000 0.0000
Al1 Al 0.6667 0.3333 0.3643
Au1 Au 0.3333 0.6667 0.6648
# energy	-3.10	eV per atom
# energy of formation from the pure elements	-0.68	eV/f.u.